No. 1
Below is a relaxed Pu2MoIr crystal, with properties calculated at the GGA-PBE level.

Properties
energy of formation: -0.024 eV per atom
space group: P4/mmm (123)

a b c (Å): 3.5364 4.7319 4.7319
angles (deg): 90.00 90.00 90.00
Last column: magnetic moment on the atom in μB.
Fractional coordinates of all 4 atoms:
Mo1 0.5000 0.0000 0.0000  -0.91
Ir1 0.5000 0.5000 0.5000  -0.33
Pu1 0.0000 0.0000 0.5000  4.75
Pu2 0.0000 0.5000 0.0000  4.75

No. 2
Below is a relaxed Li2ReGe2 crystal, with properties calculated at the GGA-PBE level.

Properties
energy of formation: 0.412 eV per atom
space group: I4/mmm (139)
polymorph energy (0 for the lowest one): 347 meV/atom

a b c (Å): 4.3824 4.3824 4.7473
angles (deg): 62.51 62.51 90.00
Fractional coordinates of all 5 atoms:
Re1 0.0000 0.0000 0.0000
Ge1 0.7500 0.2500 0.5000
Ge2 0.2500 0.7500 0.5000
Li1 0.3666 0.3666 0.2668
Li2 0.6334 0.6334 0.7332

No. 3
Below is a relaxed PrPuCd17 crystal, with properties calculated at the GGA-PBE level.

Properties
energy of formation: -0.099 eV per atom
space group: R3m (160)

a b c (Å): 7.6959 7.6959 7.6959
angles (deg): 82.02 82.02 82.02
Last column: magnetic moment on the atom in μB.
Fractional coordinates of all 19 atoms:
Pr1 0.6683 0.6683 0.6683  -0.02
Pu1 0.3284 0.3284 0.3284  5.55
Cd1 0.3010 0.0012 0.6969  0.00
Cd2 0.6969 0.3010 0.0012  0.00
Cd3 0.0012 0.6969 0.3010  0.00
Cd4 0.3010 0.6969 0.0012  0.00
Cd5 0.0012 0.3010 0.6969  0.00
Cd6 0.6969 0.0012 0.3010  0.00
Cd7 0.3492 0.8635 0.3492  0.00
Cd8 0.3492 0.3492 0.8635  0.00
Cd9 0.8635 0.3492 0.3492  0.00
Cd10 0.6288 0.1910 0.6288  0.00
Cd11 0.6288 0.6288 0.1910  0.00
Cd12 0.1910 0.6288 0.6288  0.00
Cd13 0.9863 0.5156 0.9863  0.00
Cd14 0.9863 0.9863 0.5156  0.00
Cd15 0.5156 0.9863 0.9863  0.00
Cd16 0.9039 0.9039 0.9039  0.00
Cd17 0.1026 0.1026 0.1026  0.00

No. 4
Below is a relaxed AlWS2 crystal, with properties calculated at the GGA-PBE level.

Properties
space group: I-42d (122)
uncorrected formation energy: 67 meV/atom

a b c (Å): 5.5036 5.5036 6.3830
angles (deg): 64.46 64.46 90.00
Last column: magnetic moment on the atom in μB.
Fractional coordinates of all 8 atoms:
S1 0.6132 0.1250 0.2500  0.00
S2 0.1368 0.6250 0.2500  0.00
S3 0.3750 0.3868 0.7500  0.00
S4 0.8750 0.8632 0.7500  0.00
Al1 0.5000 0.5000 0.0000  0.02
Al2 0.2500 0.7500 0.5000  0.02
W1 0.0000 0.0000 0.0000  0.72
W2 0.7500 0.2500 0.5000  0.72

No. 5
Below is a relaxed Ca2CrAs crystal, with properties calculated at the GGA-PBE level.

Properties
energy of formation: -0.317 eV per atom
space group: Amm2 (38)

a b c (Å): 4.3306 4.3257 6.0062
angles (deg): 68.89 90.00 90.00
Last column: magnetic moment on the atom in μB.
Fractional coordinates of all 4 atoms:
Cr1 0.0000 0.6886 0.4979  3.82
As1 0.5000 0.5556 0.7638  -0.02
Ca1 0.0000 0.9854 0.9042  0.07
Ca2 0.5000 0.2705 0.3341  0.08

No. 6
Below is a relaxed Nb3BOs crystal, with properties calculated at the GGA-PBE level.

Properties
energy of formation: 1.823 eV per atom
space group: Pm-3m (221)
polymorph energy (0 for the lowest one): 1671 meV/atom

a b c (Å): 4.8224 4.8224 4.8224
angles (deg): 90.00 90.00 90.00
Fractional coordinates of all 5 atoms:
Nb1 0.0000 0.5000 0.0000
Nb2 0.0000 0.0000 0.5000
Nb3 0.5000 0.0000 0.0000
B1 0.5000 0.5000 0.5000
Os1 0.0000 0.0000 0.0000

No. 7
Below is a relaxed Ti2ReHIr crystal, with properties calculated at the GGA-PBE level.

Properties
space group: P4/mmm (123)
polymorph energy (0 for the lowest one): 0 meV/atom

a b c (Å): 4.2966 4.2966 3.4420
angles (deg): 90.00 90.00 90.00
Fractional coordinates of all 5 atoms:
Re1 0.5000 0.5000 0.5000
Ir1 0.0000 0.0000 0.5000
H1 0.0000 0.0000 0.0000
Ti1 0.0000 0.5000 0.0000
Ti2 0.5000 0.0000 0.0000

No. 8
Below is a relaxed PmTh3Sb4 crystal, with properties calculated at the GGA-PBE level.

Properties
space group: Cmmm (65)
polymorph energy (0 for the lowest one): 3 meV/atom
uncorrected formation energy: -983 meV/atom

a b c (Å): 4.4974 7.8005 7.8005
angles (deg): 109.37 90.00 90.00
Fractional coordinates of all 8 atoms:
Pm1 0.5000 0.0000 0.0000
Th1 0.0000 0.0000 0.5000
Th2 0.5000 0.5000 0.5000
Th3 0.0000 0.5000 0.0000
Sb1 0.0000 0.2491 0.2491
Sb2 0.5000 0.7507 0.2493
Sb3 0.0000 0.7509 0.7509
Sb4 0.5000 0.2493 0.7507

Question: Number 3 is which compound?
Answer: PrPuCd17